1.
The following is a DFT calculation (PBE) of an optimized crystal structure of PaAgF2.

Output
Energy relative to the elements, uncorrected, meV/atom: -1867
Space group: R-3m
Crystal system: trigonal
Calculated density, g cm⁻³: 7.4

The structure in CIF format:
```
data_PaAgF2
_cell_length_a 3.124
_cell_length_b 3.124
_cell_length_c 10.236
_cell_angle_alpha 81.22
_cell_angle_beta 81.22
_cell_angle_gamma 60.00
_symmetry_space_group_name_H-M 'P 1'
_symmetry_Int_Tables_number 1
loop_
_symmetry_equiv_pos_as_xyz
'x,y,z'
loop_
_atom_site_label
_atom_site_fract_x
_atom_site_fract_y
_atom_site_fract_z
Pa1 0.500 0.500 0.500
F1 0.112 0.112 0.663
F2 0.888 0.888 0.337
Ag1 0.000 0.000 0.000
```



2.
The following is a DFT calculation (PBE) of an optimized crystal structure of In2AuCl.

Output
Energy relative to the elements, uncorrected, meV/atom: -364
Space group: C2/m
Offset from the most stable computed form, meV per atom: 74
Crystal system: monoclinic
Calculated density, g cm⁻³: 7.8

The structure in CIF format:
```
data_In2AuCl
_cell_length_a 7.528
_cell_length_b 5.605
_cell_length_c 3.334
_cell_angle_alpha 75.58
_cell_angle_beta 85.87
_cell_angle_gamma 130.55
_symmetry_space_group_name_H-M 'P 1'
_symmetry_Int_Tables_number 1
loop_
_symmetry_equiv_pos_as_xyz
'x,y,z'
loop_
_atom_site_label
_atom_site_fract_x
_atom_site_fract_y
_atom_site_fract_z
In1 0.500 0.000 0.500
In2 0.000 0.000 0.000
Au1 0.000 0.500 0.500
Cl1 0.500 0.500 0.000
```



3.
The following is a DFT calculation (PBE) of an optimized crystal structure of NaTl2Sn2.

Output
Space group: P4/mbm
Offset from the most stable computed form, meV per atom: 51
Formation enthalpy at 0 K, kJ/mol of formula units: 3
Crystal system: tetragonal
Calculated density, g cm⁻³: 7.3

The structure in CIF format:
```
data_NaTl2Sn2
_cell_length_a 8.720
_cell_length_b 8.720
_cell_length_c 4.004
_cell_angle_alpha 90.00
_cell_angle_beta 90.00
_cell_angle_gamma 90.00
_symmetry_space_group_name_H-M 'P 1'
_symmetry_Int_Tables_number 1
loop_
_symmetry_equiv_pos_as_xyz
'x,y,z'
loop_
_atom_site_label
_atom_site_fract_x
_atom_site_fract_y
_atom_site_fract_z
Sn1 0.372 0.872 0.000
Sn2 0.872 0.628 0.000
Sn3 0.128 0.372 0.000
Sn4 0.628 0.128 0.000
Na1 0.000 0.000 0.000
Na2 0.500 0.500 0.000
Tl1 0.831 0.331 0.500
Tl2 0.169 0.669 0.500
Tl3 0.669 0.831 0.500
Tl4 0.331 0.169 0.500
```



4.
The following is a DFT calculation (PBE) of an optimized crystal structure of ZnIrPb.

Output
Space group: I4mm
Offset from the most stable computed form, meV per atom: 47
Formation enthalpy at 0 K, kJ/mol of formula units: 51
Crystal system: tetragonal
Calculated density, g cm⁻³: 12.8

The structure in CIF format:
```
data_ZnIrPb
_cell_length_a 6.357
_cell_length_b 6.357
_cell_length_c 3.189
_cell_angle_alpha 75.48
_cell_angle_beta 75.48
_cell_angle_gamma 29.05
_symmetry_space_group_name_H-M 'P 1'
_symmetry_Int_Tables_number 1
loop_
_symmetry_equiv_pos_as_xyz
'x,y,z'
loop_
_atom_site_label
_atom_site_fract_x
_atom_site_fract_y
_atom_site_fract_z
Pb1 0.355 0.355 0.645
Ir1 0.018 0.018 0.982
Zn1 0.626 0.626 0.374
```



5.
The following is a DFT calculation (PBE) of an optimized crystal structure of Dy2ScCd8.

Output
Space group: Immm
Formation enthalpy at 0 K, kJ/mol of formula units: -179
Crystal system: orthorhombic
Calculated density, g cm⁻³: 8.1

The structure in CIF format:
```
data_Dy2ScCd8
_cell_length_a 5.009
_cell_length_b 7.181
_cell_length_c 8.487
_cell_angle_alpha 114.99
_cell_angle_beta 107.16
_cell_angle_gamma 90.00
_symmetry_space_group_name_H-M 'P 1'
_symmetry_Int_Tables_number 1
loop_
_symmetry_equiv_pos_as_xyz
'x,y,z'
loop_
_atom_site_label
_atom_site_fract_x
_atom_site_fract_y
_atom_site_fract_z
Cd1 0.000 0.289 0.000
Cd2 0.636 0.426 0.271
Cd3 0.364 0.155 0.728
Cd4 0.000 0.711 0.000
Cd5 0.636 0.845 0.272
Cd6 0.364 0.574 0.729
Cd7 0.155 0.154 0.309
Cd8 0.845 0.846 0.691
Dy1 0.799 0.299 0.598
Dy2 0.201 0.701 0.402
Sc1 0.500 0.000 0.000
```



6.
The following is a DFT calculation (PBE) of an optimized crystal structure of Sc3Mn2.

Output
Space group: R-3m
Offset from the most stable computed form, meV per atom: 101
Formation enthalpy at 0 K, kJ/mol of formula units: 125
Crystal system: trigonal
Calculated density, g cm⁻³: 4.1

The structure in CIF format:
```
data_Sc3Mn2
_cell_length_a 11.887
_cell_length_b 11.887
_cell_length_c 11.887
_cell_angle_alpha 15.06
_cell_angle_beta 15.06
_cell_angle_gamma 15.06
_symmetry_space_group_name_H-M 'P 1'
_symmetry_Int_Tables_number 1
loop_
_symmetry_equiv_pos_as_xyz
'x,y,z'
loop_
_atom_site_label
_atom_site_fract_x
_atom_site_fract_y
_atom_site_fract_z
Mn1 0.397 0.397 0.397
Mn2 0.603 0.603 0.603
Sc1 0.207 0.207 0.207
Sc2 0.793 0.793 0.793
Sc3 0.000 0.000 0.000
```



7.
The following is a DFT calculation (PBE) of an optimized crystal structure of Tl3InS.

Output
Energy relative to the elements, uncorrected, meV/atom: 364
Space group: Pm-3m
Offset from the most stable computed form, meV per atom: 159
Crystal system: cubic
Calculated density, g cm⁻³: 6.9

The structure in CIF format:
```
data_Tl3InS
_cell_length_a 5.685
_cell_length_b 5.685
_cell_length_c 5.685
_cell_angle_alpha 90.00
_cell_angle_beta 90.00
_cell_angle_gamma 90.00
_symmetry_space_group_name_H-M 'P 1'
_symmetry_Int_Tables_number 1
loop_
_symmetry_equiv_pos_as_xyz
'x,y,z'
loop_
_atom_site_label
_atom_site_fract_x
_atom_site_fract_y
_atom_site_fract_z
S1 0.500 0.500 0.500
Tl1 0.000 0.000 0.500
Tl2 0.500 0.000 0.000
Tl3 0.000 0.500 0.000
In1 0.000 0.000 0.000
```



8.
The following is a DFT calculation (PBE) of an optimized crystal structure of Li2H2IrO6.

Output
Space group: P-3
Crystal system: trigonal
E, eV for the cell shown: -57.75
Calculated density, g cm⁻³: 5.3

The structure in CIF format:
```
data_Li2H2IrO6
_cell_length_a 4.744
_cell_length_b 4.744
_cell_length_c 4.846
_cell_angle_alpha 90.00
_cell_angle_beta 90.00
_cell_angle_gamma 120.00
_symmetry_space_group_name_H-M 'P 1'
_symmetry_Int_Tables_number 1
loop_
_symmetry_equiv_pos_as_xyz
'x,y,z'
loop_
_atom_site_label
_atom_site_fract_x
_atom_site_fract_y
_atom_site_fract_z
O1 0.059 0.354 0.776
O2 0.295 0.941 0.776
O3 0.705 0.059 0.224
O4 0.646 0.705 0.776
O5 0.354 0.295 0.224
O6 0.941 0.646 0.224
Li1 0.333 0.667 0.402
Li2 0.667 0.333 0.598
H1 0.667 0.333 0.185
H2 0.333 0.667 0.815
Ir1 0.000 0.000 0.000
```



9.
The following is a DFT calculation (PBE) of an optimized crystal structure of LiPdSe2.

Output
Energy relative to the elements, uncorrected, meV/atom: -531
Space group: R3m
Crystal system: trigonal
Calculated density, g cm⁻³: 5.7

The structure in CIF format:
```
data_LiPdSe2
_cell_length_a 3.811
_cell_length_b 3.811
_cell_length_c 6.618
_cell_angle_alpha 73.27
_cell_angle_beta 73.27
_cell_angle_gamma 60.00
_symmetry_space_group_name_H-M 'P 1'
_symmetry_Int_Tables_number 1
loop_
_symmetry_equiv_pos_as_xyz
'x,y,z'
loop_
_atom_site_label
_atom_site_fract_x
_atom_site_fract_y
_atom_site_fract_z
Se1 0.259 0.259 0.224
Se2 0.073 0.073 0.782
Pd1 0.665 0.665 0.005
Li1 0.504 0.504 0.489
```



10.
The following is a DFT calculation (PBE) of an optimized crystal structure of Hf3Mg3WN8.

Output
Energy relative to the elements, uncorrected, meV/atom: -1179
Space group: R-3m
Crystal system: trigonal
Calculated density, g cm⁻³: 8.4

The structure in CIF format:
```
data_Hf3Mg3WN8
_cell_length_a 6.327
_cell_length_b 6.327
_cell_length_c 6.296
_cell_angle_alpha 120.17
_cell_angle_beta 90.00
_cell_angle_gamma 120.00
_symmetry_space_group_name_H-M 'P 1'
_symmetry_Int_Tables_number 1
loop_
_symmetry_equiv_pos_as_xyz
'x,y,z'
loop_
_atom_site_label
_atom_site_fract_x
_atom_site_fract_y
_atom_site_fract_z
N1 0.230 0.992 0.722
N2 0.770 0.540 0.278
N3 0.230 0.460 0.722
N4 0.746 0.492 0.738
N5 0.761 0.992 0.722
N6 0.254 0.508 0.262
N7 0.770 0.008 0.278
N8 0.239 0.008 0.278
Mg1 0.500 0.500 0.000
Mg2 0.000 0.000 0.000
Mg3 0.000 0.500 0.000
Hf1 0.500 0.500 0.500
Hf2 0.500 0.000 0.500
Hf3 0.000 0.500 0.500
W1 0.000 0.000 0.500
```



11.
The following is a DFT calculation (PBE) of an optimized crystal structure of PrSm5Ga6.

Output
Space group: Cmmm
Formation enthalpy at 0 K, kJ/mol of formula units: -655
Crystal system: orthorhombic
Calculated density, g cm⁻³: 7.4

The structure in CIF format:
```
data_PrSm5Ga6
_cell_length_a 5.176
_cell_length_b 7.322
_cell_length_c 8.191
_cell_angle_alpha 90.00
_cell_angle_beta 71.60
_cell_angle_gamma 90.00
_symmetry_space_group_name_H-M 'P 1'
_symmetry_Int_Tables_number 1
loop_
_symmetry_equiv_pos_as_xyz
'x,y,z'
loop_
_atom_site_label
_atom_site_fract_x
_atom_site_fract_y
_atom_site_fract_z
Sm1 0.000 0.500 0.000
Sm2 0.665 0.500 0.670
Sm3 0.667 0.000 0.666
Sm4 0.335 0.500 0.330
Sm5 0.333 0.000 0.334
Ga1 0.500 0.253 0.000
Ga2 0.832 0.253 0.337
Ga3 0.168 0.253 0.663
Ga4 0.832 0.747 0.337
Ga5 0.500 0.747 0.000
Ga6 0.168 0.747 0.663
Pr1 0.000 0.000 0.000
```



12.
The following is a DFT calculation (PBE) of an optimized crystal structure of La4Sm2Dy2Ho.

Output
Space group: C2/m
Formation enthalpy at 0 K, kJ/mol of formula units: 22
Crystal system: monoclinic
Calculated density, g cm⁻³: 7.2

The structure in CIF format:
```
data_La4Sm2Dy2Ho
_cell_length_a 5.175
_cell_length_b 8.173
_cell_length_c 8.140
_cell_angle_alpha 107.61
_cell_angle_beta 90.00
_cell_angle_gamma 108.46
_symmetry_space_group_name_H-M 'P 1'
_symmetry_Int_Tables_number 1
loop_
_symmetry_equiv_pos_as_xyz
'x,y,z'
loop_
_atom_site_label
_atom_site_fract_x
_atom_site_fract_y
_atom_site_fract_z
Dy1 0.111 0.223 0.671
Dy2 0.889 0.777 0.329
Sm1 0.667 0.334 0.000
Sm2 0.333 0.666 0.000
La1 0.777 0.554 0.667
La2 0.554 0.108 0.331
La3 0.446 0.892 0.669
La4 0.223 0.446 0.333
Ho1 0.000 0.000 0.000
```